Density functional theory data (PBE-GGA) for a geometry-optimized MgZn10Ga2 structure.

```
MgZn10Ga2
1.0
5.363 0.000 0.000
2.682 6.394 0.000
2.682 0.000 6.253
Ga Zn Mg
2 10 1
Cartesian
4.022 3.197 0.000
1.341 3.197 0.000
5.363 4.165 3.996
5.363 2.229 2.257
2.682 2.229 3.996
8.045 5.056 4.899
5.363 1.338 4.899
1.341 0.000 3.127
4.022 0.000 3.127
2.682 1.338 1.354
8.045 4.165 2.257
5.363 5.056 1.354
0.000 0.000 0.000
```

Computed properties:
Magnetic moment   0.00 μB per formula unit
Final energy   -19.85 eV per cell
Mass density   6.33 g/cm3



Density functional theory data (PBE-GGA) for a geometry-optimized MgZn2Ga3 structure.

```
MgZn2Ga3
1.0
-5.198 1.556 2.440
-5.073 -2.307 -2.082
-2.882 -5.508 4.626
Mg Ga Zn
2 6 4
Cartesian
-9.913 -4.221 3.332
-3.239 -2.038 1.652
-8.337 -2.313 1.745
-4.815 -3.947 3.239
-5.810 -3.069 0.559
-7.281 -5.069 2.227
-7.342 -3.191 4.425
-5.871 -1.191 2.757
0.000 0.000 0.000
-5.135 -0.376 0.179
-2.599 0.778 1.220
-2.536 -1.154 -1.041
```

Computed properties:
Magnetic moment   0.00 μB per formula unit
Mass density   5.68 g/cm3
Energy above the most stable polymorph in this dataset   16 meV/atom



Density functional theory data (PBE-GGA) for a geometry-optimized Mg3ZnGa5 structure.

```
Mg3ZnGa5
1.0
-3.598 -0.312 7.654
7.657 0.094 3.603
-2.163 5.275 -5.481
Ga Mg Zn
10 6 2
Cartesian
0.285 1.358 3.105
-1.803 3.758 -2.458
-2.660 3.614 1.812
2.030 -0.109 5.628
1.611 3.699 2.672
2.468 3.843 -1.598
4.557 1.443 3.964
3.700 1.299 8.235
0.000 0.000 0.000
-0.571 1.214 7.375
-1.315 -0.182 5.170
1.573 -0.216 8.972
5.374 -0.036 6.087
-0.067 2.583 0.074
2.486 -0.001 2.285
1.963 2.474 5.702
3.762 2.630 1.875
-1.865 2.427 3.901
```

Computed properties:
Magnetic moment   0.00 μB per formula unit
Final energy   -41.85 eV per cell
Mass density   4.37 g/cm3



Density functional theory data (PBE-GGA) for a geometry-optimized MgZn6Ga8 structure.

```
MgZn6Ga8
1.0
5.768 0.000 0.000
0.000 6.542 -3.777
0.000 0.000 7.554
Ga Zn Mg
8 6 1
Cartesian
4.808 2.128 -1.228
2.884 2.181 3.777
0.960 0.000 5.097
0.960 4.414 5.005
4.808 6.542 -1.320
0.960 2.128 1.229
4.808 4.414 2.549
2.883 4.361 0.000
4.022 6.542 1.168
1.746 2.260 6.249
4.022 4.282 -2.472
4.022 2.260 1.305
1.746 4.282 2.472
1.746 0.000 2.609
2.884 0.000 0.000
```

Computed properties:
Magnetic moment   0.00 μB per formula unit
Mass density   5.68 g/cm3
Energy above the most stable polymorph in this dataset   7 meV/atom



Density functional theory data (PBE-GGA) for a geometry-optimized Mg3ZnGa structure.

```
Mg3ZnGa
1.0
4.988 0.000 0.000
0.000 4.988 0.000
0.000 0.000 4.988
Mg Zn Ga
3 1 1
Cartesian
0.000 2.494 0.000
2.494 0.000 0.000
0.000 0.000 2.494
0.000 0.000 0.000
2.494 2.494 2.494
```

Computed properties:
Magnetic moment   0.00 μB per formula unit
Mass density   2.78 g/cm3
Energy above the most stable polymorph in this dataset   311 meV/atom



Density functional theory data (PBE-GGA) for a geometry-optimized Mg6Zn5Ga structure.

```
Mg6Zn5Ga
1.0
-4.359 -0.058 -1.333
-0.948 -6.158 3.370
0.409 3.375 6.284
Zn Mg Ga
5 6 1
Cartesian
-3.246 -1.998 2.882
-0.474 -3.079 1.685
-1.652 -0.844 5.439
-1.171 2.221 3.731
-3.728 -5.063 4.590
-0.832 -0.437 2.731
-2.010 1.796 6.466
-1.301 -3.483 4.397
-2.889 -4.637 1.855
-3.598 0.641 3.924
-4.067 -2.404 5.590
0.000 0.000 0.000
```

Computed properties:
Magnetic moment   0.00 μB per formula unit
Final energy   -20.00 eV per cell
Mass density   4.12 g/cm3



Density functional theory data (PBE-GGA) for a geometry-optimized Mg4Zn3Ga4 structure.

```
Mg4Zn3Ga4
1.0
3.013 -0.061 0.443
-0.030 4.401 0.636
1.127 -0.356 15.302
Zn Mg Ga
3 4 4
Cartesian
2.983 4.340 1.079
2.533 1.458 4.751
1.576 2.526 11.630
1.376 1.897 2.031
0.820 3.470 6.090
3.290 0.515 10.291
2.734 2.087 14.349
2.688 3.873 3.717
2.157 1.008 7.326
1.953 2.977 9.055
1.421 0.111 12.664
```

Computed properties:
Magnetic moment   0.00 μB per formula unit
Final energy   -23.36 eV per cell
Mass density   4.72 g/cm3



Density functional theory data (PBE-GGA) for a geometry-optimized Mg2ZnGa2 structure.

```
Mg2ZnGa2
1.0
6.716 0.000 0.000
0.000 6.716 0.000
0.000 0.000 4.235
Zn Mg Ga
2 4 4
Cartesian
0.000 0.000 0.000
3.358 3.358 0.000
2.225 1.133 2.117
5.583 2.225 2.117
1.133 4.491 2.117
4.491 5.583 2.117
2.440 5.799 0.000
4.276 0.918 0.000
5.799 4.276 0.000
0.918 2.440 0.000
```

Computed properties:
Magnetic moment   0.00 μB per formula unit
Mass density   4.41 g/cm3
Energy above the most stable polymorph in this dataset   6 meV/atom



Density functional theory data (PBE-GGA) for a geometry-optimized Mg2Zn3Ga4 structure.

```
Mg2Zn3Ga4
1.0
-2.276 -1.566 4.372
4.612 -1.911 -1.348
1.978 6.878 1.966
Zn Mg Ga
3 2 4
Cartesian
2.306 -0.956 -0.674
0.000 0.000 0.000
-1.138 -0.783 2.186
2.403 3.926 2.657
1.911 -0.525 2.333
2.123 1.645 4.664
4.289 1.537 2.865
2.191 1.756 0.326
0.025 1.865 2.125
```

Computed properties:
Magnetic moment   0.00 μB per formula unit
Final energy   -19.69 eV per cell
Mass density   5.40 g/cm3



Density functional theory data (PBE-GGA) for a geometry-optimized Mg5Zn2Ga6 structure.

```
Mg5Zn2Ga6
1.0
-1.974 2.217 1.179
-6.829 -8.394 4.352
7.107 0.196 11.529
Mg Ga Zn
10 12 4
Cartesian
-2.575 -7.006 13.191
1.241 -2.798 11.667
2.566 1.207 6.354
4.828 0.327 11.797
-6.525 -6.307 5.263
-2.937 -3.182 5.393
0.879 1.026 3.869
-1.126 -3.941 9.852
-4.401 -3.088 2.766
-0.570 -2.040 7.208
0.147 -7.395 14.153
0.130 -0.803 1.728
-2.286 -1.318 2.979
-1.334 -4.946 7.068
0.590 -4.662 14.081
1.612 -3.252 8.813
1.833 -0.525 8.383
-1.478 -6.834 10.378
1.756 -1.363 5.503
-3.529 -5.455 8.677
4.245 -2.573 11.946
-3.967 -5.624 3.935
0.505 -5.725 11.611
4.017 -1.525 9.594
-0.227 -2.473 4.270
-3.740 -6.673 6.287
```

Computed properties:
Magnetic moment   0.00 μB per formula unit
Final energy   -58.79 eV per cell
Mass density   4.41 g/cm3



Density functional theory data (PBE-GGA) for a geometry-optimized MgZn4Ga2 structure.

```
MgZn4Ga2
1.0
-0.954 3.987 -2.857
-0.135 -2.931 -4.045
-5.951 -1.448 4.335
Mg Ga Zn
1 2 4
Cartesian
0.000 0.000 0.000
-5.124 -0.726 0.698
-1.916 0.334 -3.264
-4.406 -0.019 -2.925
-2.634 -0.373 0.359
-0.068 -1.466 -2.022
-0.477 1.993 -1.429
```

Computed properties:
Magnetic moment   0.00 μB per formula unit
Mass density   4.27 g/cm3
Energy above the most stable polymorph in this dataset   436 meV/atom



Density functional theory data (PBE-GGA) for a geometry-optimized Mg2ZnGa2 structure.

```
Mg2ZnGa2
1.0
3.240 0.000 0.000
0.000 4.034 -1.309
0.000 0.076 7.106
Mg Ga Zn
2 2 1
Cartesian
0.000 3.783 4.786
0.000 2.837 1.871
1.620 2.048 -0.559
1.620 1.282 3.950
1.620 0.465 1.434
```

Computed properties:
Magnetic moment   0.00 μB per formula unit
Mass density   4.51 g/cm3
Energy above the most stable polymorph in this dataset   0 meV/atom